Record 1
VASP calculation (PBE) on crystalline SrTa4Cd at its relaxed geometry.

**Fermi-level density of states**: 6.09 states/eV/f.u.
**Formation enthalpy at 0 K**: 3.75 eV/f.u.

Geometry as CIF:
```
data_SrTa4Cd
_symmetry_space_group_name_H-M 'F -4 3 m'
_symmetry_Int_Tables_number 216
_symmetry_space_group_name_Hall 'F -4 2 3'
_cell_length_a 8.117
_cell_length_b 8.117
_cell_length_c 8.117
_cell_angle_alpha 90.00
_cell_angle_beta 90.00
_cell_angle_gamma 90.00
loop_
_atom_site_label
_atom_site_fract_x
_atom_site_fract_y
_atom_site_fract_z
Sr1 0.000 0.000 0.000
Ta1 0.128 0.128 0.628
Cd1 0.250 0.250 0.250
```

***

Record 2
VASP calculation (PBE) on crystalline La4PmSn2 at its relaxed geometry.

**E above lowest polymorph**: 164.6 meV/atom
**Fermi-level density of states**: 9.84 states/eV/f.u.
**Formation enthalpy at 0 K**: -2.06 eV/f.u.

Geometry as CIF:
```
data_La4PmSn2
_symmetry_space_group_name_H-M 'R -3 m'
_symmetry_Int_Tables_number 166
_symmetry_space_group_name_Hall '-R 3 2"'
_cell_length_a 5.4325
_cell_length_b 5.4325
_cell_length_c 30.9512
_cell_angle_alpha 90.00
_cell_angle_beta 90.00
_cell_angle_gamma 120.00
loop_
_atom_site_label
_atom_site_fract_x
_atom_site_fract_y
_atom_site_fract_z
La1 0.0000 0.0000 0.1137
La2 0.0000 0.0000 0.2913
Pm1 0.0000 0.0000 0.5000
Sn1 0.0000 0.0000 0.3986
```